(1)
! Ho3Ag3Pd2 PBE optimized geometry; values from VASP
! SG: P-62m (189)
! ΔH_f (0 K), eV/atom: -0.59
&SYSTEM
  ibrav = 0, nat = 8, ntyp = 3
/
ATOMIC_SPECIES
Ho 164.93 Ho.upf
Pd 106.42 Pd.upf
Ag 107.87 Ag.upf
CELL_PARAMETERS angstrom
3.6433 0.0000 0.0000
0.0000 6.4522 -3.7252
0.0000 0.0000 7.4504
ATOMIC_POSITIONS crystal
Ho 0.5000 0.0000 0.5906
Ho 0.5000 0.4094 0.4094
Ho 0.5000 0.5906 0.0000
Pd 0.0000 0.3333 0.6667
Pd 0.0000 0.6667 0.3333
Ag 0.0000 0.7709 0.7709
Ag 0.0000 0.0000 0.2291
Ag 0.0000 0.2291 0.0000



(2)
! ZrTlHg2 PBE optimized geometry; values from VASP
! SG: Cmmm (65)
! ΔH_f (0 K), eV/atom: 0.01
&SYSTEM
  ibrav = 0, nat = 4, ntyp = 3
/
ATOMIC_SPECIES
Zr 91.22 Zr.upf
Hg 200.59 Hg.upf
Tl 204.38 Tl.upf
CELL_PARAMETERS angstrom
-0.1377 -4.1410 -3.6005
-2.6270 -1.4038 4.6107
-2.8495 1.1978 -1.2632
ATOMIC_POSITIONS crystal
Zr 0.0000 0.5000 0.5000
Hg 0.0000 0.0000 0.0000
Hg 0.5000 0.5000 0.0000
Tl 0.5000 0.0000 0.5000



(3)
! BaTlVSe4 PBE optimized geometry; values from VASP
! SG: P2_1/m (11)
! Raw formation energy, meV per atom: -1023
&SYSTEM
  ibrav = 0, nat = 14, ntyp = 4
/
ATOMIC_SPECIES
Se 78.96 Se.upf
Ba 137.33 Ba.upf
V 50.94 V.upf
Tl 204.38 Tl.upf
CELL_PARAMETERS angstrom
7.2022 0.0000 0.0467
0.0000 7.0518 0.0000
-2.7557 0.0000 8.9117
ATOMIC_POSITIONS crystal
Se 0.6500 0.2500 0.4535
Se 0.4030 0.7500 0.1509
Se 0.0092 0.9935 0.7675
Se 0.3500 0.7500 0.5465
Se 0.9908 0.0065 0.2325
Se 0.5970 0.2500 0.8491
Se 0.0092 0.5065 0.7675
Se 0.9908 0.4935 0.2325
Ba 0.7695 0.7500 0.4594
Ba 0.2305 0.2500 0.5406
V 0.1946 0.7500 0.2932
V 0.8054 0.2500 0.7068
Tl 0.2651 0.2500 0.0598
Tl 0.7349 0.7500 0.9402



(4)
! Li2Cd2In3 PBE optimized geometry; values from VASP
! SG: I2_13 (199)
! ΔH_f (0 K), eV/atom: -0.07
! Energy above the most stable polymorph in this dataset, eV/atom: 0.0265
&SYSTEM
  ibrav = 0, nat = 14, ntyp = 3
/
ATOMIC_SPECIES
In 114.82 In.upf
Li 6.94 Li.upf
Cd 112.41 Cd.upf
CELL_PARAMETERS angstrom
-4.8565 5.6370 -0.1323
-3.3024 -6.0542 2.7963
5.8206 1.8398 4.2561
ATOMIC_POSITIONS crystal
In 0.4391 0.1891 0.7500
In 0.6891 0.7500 0.9391
In 0.2500 0.9391 0.1891
In 0.0609 0.3109 0.2500
In 0.7500 0.5609 0.3109
In 0.8109 0.2500 0.5609
Li 0.9015 0.5000 0.0000
Li 0.5000 0.4015 0.5000
Li 0.0000 0.0000 0.4015
Li 0.5985 0.0985 0.0985
Cd 0.5000 0.7868 0.5000
Cd 0.0000 0.0000 0.7868
Cd 0.2132 0.7132 0.7132
Cd 0.2868 0.5000 0.0000



(5)
! BSb3Os PBE optimized geometry; values from VASP
! SG: Pm-3m (221)
! Raw formation energy, meV per atom: 1258
! Energy above the most stable polymorph in this dataset, eV/atom: 0.0000
&SYSTEM
  ibrav = 0, nat = 5, ntyp = 3
/
ATOMIC_SPECIES
Sb 121.76 Sb.upf
B 10.81 B.upf
Os 190.23 Os.upf
CELL_PARAMETERS angstrom
4.6276 0.0000 0.0000
0.0000 4.6276 0.0000
0.0000 0.0000 4.6276
ATOMIC_POSITIONS crystal
Sb 0.0000 0.5000 0.0000
Sb 0.0000 0.0000 0.5000
Sb 0.5000 0.0000 0.0000
B 0.0000 0.0000 0.0000
Os 0.5000 0.5000 0.5000



(6)
! BaCa2La PBE optimized geometry; values from VASP
! SG: P4/mmm (123)
! ΔH_f (0 K), eV/atom: 0.07
! Energy above the most stable polymorph in this dataset, eV/atom: 0.0000
&SYSTEM
  ibrav = 0, nat = 4, ntyp = 3
/
ATOMIC_SPECIES
Ca 40.08 Ca.upf
La 138.91 La.upf
Ba 137.33 Ba.upf
CELL_PARAMETERS angstrom
4.3463 0.0000 0.0000
0.0000 4.3463 0.0000
0.0000 0.0000 9.6332
ATOMIC_POSITIONS crystal
Ca 0.0000 0.0000 0.0282
Ca 0.0000 0.0000 0.4718
La 0.5000 0.5000 0.2500
Ba 0.5000 0.5000 0.7500



(7)
! AcDyRu4 PBE optimized geometry; values from VASP
! SG: F-43m (216)
! ΔH_f (0 K), eV/atom: -0.08
&SYSTEM
  ibrav = 0, nat = 6, ntyp = 3
/
ATOMIC_SPECIES
Ru 101.07 Ru.upf
Dy 162.50 Dy.upf
Ac 227.00 Ac.upf
CELL_PARAMETERS angstrom
-3.3083 0.7663 4.2668
-4.8274 -2.5289 0.1959
-0.8204 -4.0366 3.5736
ATOMIC_POSITIONS crystal
Ru 0.6257 0.1228 0.6257
Ru 0.6257 0.6257 0.1228
Ru 0.6257 0.6257 0.6257
Ru 0.1228 0.6257 0.6257
Dy 0.0000 0.0000 0.0000
Ac 0.2500 0.2500 0.2500



(8)
! Tb5PrHo7 PBE optimized geometry; values from VASP
! SG: Imm2 (44)
! ΔH_f (0 K), eV/atom: 0.25
! Energy above the most stable polymorph in this dataset, eV/atom: 0.0025
&SYSTEM
  ibrav = 0, nat = 13, ntyp = 3
/
ATOMIC_SPECIES
Ho 164.93 Ho.upf
Pr 140.91 Pr.upf
Tb 158.93 Tb.upf
CELL_PARAMETERS angstrom
6.6637 0.0000 0.0000
3.3319 8.0185 0.1712
3.3319 0.1454 8.0190
ATOMIC_POSITIONS crystal
Ho 0.9824 0.6863 0.3488
Ho 0.4806 0.1879 0.8509
Ho 0.2302 0.2698 0.2698
Ho 0.9824 0.3488 0.6863
Ho 0.4806 0.8509 0.1879
Ho 0.4234 0.5766 0.5766
Ho 0.7270 0.2730 0.2730
Pr 0.0298 0.9702 0.9702
Tb 0.9980 0.9980 0.5381
Tb 0.7358 0.7642 0.7642
Tb 0.9980 0.5381 0.9980
Tb 0.4659 0.9980 0.5381
Tb 0.4659 0.5381 0.9980



(9)
! Zr3Ni PBE optimized geometry; values from VASP
! SG: Fm-3m (225)
! ΔH_f (0 K), eV/atom: 0.05
&SYSTEM
  ibrav = 0, nat = 4, ntyp = 2
/
ATOMIC_SPECIES
Zr 91.22 Zr.upf
Ni 58.69 Ni.upf
CELL_PARAMETERS angstrom
-3.0808 -3.2337 1.7057
-2.7577 -2.4927 -3.0064
3.8902 -1.4292 -2.3834
ATOMIC_POSITIONS crystal
Zr 0.5000 0.7500 0.7500
Zr 0.0000 0.5000 0.5000
Zr 0.5000 0.2500 0.2500
Ni 0.0000 0.0000 0.0000



(10)
! LaCr2Cu PBE optimized geometry; values from VASP
! SG: P2/m (10)
! ΔH_f (0 K), eV/atom: 0.64
! Energy above the most stable polymorph in this dataset, eV/atom: 0.3436
&SYSTEM
  ibrav = 0, nat = 4, ntyp = 3
/
ATOMIC_SPECIES
La 138.91 La.upf
Cr 52.00 Cr.upf
Cu 63.55 Cu.upf
CELL_PARAMETERS angstrom
4.5482 0.0000 0.0000
0.0000 3.0464 -0.0187
0.0000 1.1911 5.3101
ATOMIC_POSITIONS crystal
La 0.5000 0.7500 0.7500
Cr 0.0000 0.0429 0.1064
Cr 0.0000 0.4571 0.3936
Cu 0.5000 0.2500 0.2500



(11)
! BeTeBr PBE optimized geometry; values from VASP
! SG: F-43m (216)
! Raw formation energy, meV per atom: 729
! Energy above the most stable polymorph in this dataset, eV/atom: 1.2139
&SYSTEM
  ibrav = 0, nat = 3, ntyp = 3
/
ATOMIC_SPECIES
Br 79.90 Br.upf
Te 127.60 Te.upf
Be 9.01 Be.upf
CELL_PARAMETERS angstrom
-2.5696 3.5028 -2.1876
-4.7459 0.4871 0.9472
-1.5888 3.8142 2.5663
ATOMIC_POSITIONS crystal
Br 0.5000 0.5000 0.5000
Te 0.2500 0.2500 0.2500
Be 0.0000 0.0000 0.0000



(12)
! Ac2GaAg2O6 PBE optimized geometry; values from VASP
! SG: R-3m (166)
! Raw formation energy, meV per atom: -1630
&SYSTEM
  ibrav = 0, nat = 11, ntyp = 4
/
ATOMIC_SPECIES
O 16.00 O.upf
Ag 107.87 Ag.upf
Ga 69.72 Ga.upf
Ac 227.00 Ac.upf
CELL_PARAMETERS angstrom
-5.8934 0.0878 2.0807
-3.5259 -5.1471 -0.3809
-1.4990 -3.1589 5.2761
ATOMIC_POSITIONS crystal
O 0.2254 0.8114 0.7378
O 0.2254 0.2254 0.7378
O 0.8114 0.2254 0.7378
O 0.7746 0.1886 0.2622
O 0.1886 0.7746 0.2622
O 0.7746 0.7746 0.2622
Ag 0.5899 0.5899 0.2302
Ag 0.4101 0.4101 0.7698
Ga 0.0000 0.0000 0.0000
Ac 0.7896 0.7896 0.6313
Ac 0.2104 0.2104 0.3687



(13)
! NaZr2Si PBE optimized geometry; values from VASP
! SG: I-42d (122)
! Raw formation energy, meV per atom: 320
&SYSTEM
  ibrav = 0, nat = 8, ntyp = 3
/
ATOMIC_SPECIES
Na 22.99 Na.upf
Zr 91.22 Zr.upf
Si 28.09 Si.upf
CELL_PARAMETERS angstrom
7.8189 0.0000 0.0000
0.0000 7.8189 0.0000
3.9095 3.9095 2.8908
ATOMIC_POSITIONS crystal
Na 0.2500 0.7500 0.5000
Na 0.5000 0.5000 0.0000
Zr 0.6579 0.1250 0.2500
Zr 0.8750 0.9079 0.7500
Zr 0.0921 0.6250 0.2500
Zr 0.3750 0.3421 0.7500
Si 0.7500 0.2500 0.5000
Si 0.0000 0.0000 0.0000



(14)
! BeTe2Cl PBE optimized geometry; values from VASP
! SG: R-3m (166)
! Raw formation energy, meV per atom: -24
! Energy above the most stable polymorph in this dataset, eV/atom: 0.3299
&SYSTEM
  ibrav = 0, nat = 4, ntyp = 3
/
ATOMIC_SPECIES
Be 9.01 Be.upf
Te 127.60 Te.upf
Cl 35.45 Cl.upf
CELL_PARAMETERS angstrom
2.0945 0.8297 8.1522
5.4831 1.0317 6.3565
3.2562 4.1499 6.6113
ATOMIC_POSITIONS crystal
Be 0.5000 0.5000 0.5000
Te 0.1101 0.1101 0.1101
Te 0.8899 0.8899 0.8899
Cl 0.0000 0.0000 0.0000



(15)
! Bi2AuC PBE optimized geometry; values from VASP
! SG: I-42d (122)
! ΔH_f (0 K), eV/atom: 0.81
&SYSTEM
  ibrav = 0, nat = 8, ntyp = 3
/
ATOMIC_SPECIES
C 12.01 C.upf
Bi 208.98 Bi.upf
Au 196.97 Au.upf
CELL_PARAMETERS angstrom
6.1666 0.0000 0.0000
0.0000 6.1666 0.0000
3.0833 3.0833 5.5212
ATOMIC_POSITIONS crystal
C 0.5000 0.5000 0.0000
C 0.2500 0.7500 0.5000
Bi 0.1826 0.6250 0.2500
Bi 0.3750 0.4326 0.7500
Bi 0.8750 0.8174 0.7500
Bi 0.5674 0.1250 0.2500
Au 0.0000 0.0000 0.0000
Au 0.7500 0.2500 0.5000



(16)
! Cs6H3Au2I PBE optimized geometry; values from VASP
! SG: C2/m (12)
&SYSTEM
  ibrav = 0, nat = 12, ntyp = 4
/
ATOMIC_SPECIES
Cs 132.91 Cs.upf
I 126.90 I.upf
H 1.01 H.upf
Au 196.97 Au.upf
CELL_PARAMETERS angstrom
4.8894 0.0000 0.0000
0.0000 10.0001 0.2087
-2.4447 -3.0441 10.4212
ATOMIC_POSITIONS crystal
Cs 0.6778 0.0673 0.3556
Cs 0.6603 0.5986 0.3207
Cs 0.3222 0.9327 0.6444
Cs 0.3397 0.4014 0.6793
Cs 0.0081 0.7192 0.0162
Cs 0.9919 0.2808 0.9838
I 0.5000 0.0000 0.0000
H 0.8331 0.1706 0.6662
H 0.1669 0.8294 0.3338
H 0.5000 0.5000 0.0000
Au 0.1668 0.3326 0.3337
Au 0.8332 0.6674 0.6663



(17)
! KZnSb2 PBE optimized geometry; values from VASP
! SG: I-42d (122)
! Raw formation energy, meV per atom: -106
&SYSTEM
  ibrav = 0, nat = 8, ntyp = 3
/
ATOMIC_SPECIES
Sb 121.76 Sb.upf
K 39.10 K.upf
Zn 65.41 Zn.upf
CELL_PARAMETERS angstrom
5.6894 0.0000 0.0000
0.0000 5.6894 0.0000
2.8447 2.8447 8.9091
ATOMIC_POSITIONS crystal
Sb 0.3750 0.2368 0.7500
Sb 0.8750 0.0132 0.7500
Sb 0.9868 0.6250 0.2500
Sb 0.7632 0.1250 0.2500
K 0.5000 0.5000 0.0000
K 0.2500 0.7500 0.5000
Zn 0.0000 0.0000 0.0000
Zn 0.7500 0.2500 0.5000



(18)
! Er2MgRh2 PBE optimized geometry; values from VASP
! SG: C2/c (15)
! ΔH_f (0 K), eV/atom: -0.74
&SYSTEM
  ibrav = 0, nat = 10, ntyp = 3
/
ATOMIC_SPECIES
Mg 24.30 Mg.upf
Er 167.26 Er.upf
Rh 102.91 Rh.upf
CELL_PARAMETERS angstrom
-3.9828 -3.4915 -2.3834
0.9701 -3.5648 -4.4816
1.2114 -7.1497 3.1094
ATOMIC_POSITIONS crystal
Mg 0.8556 0.1444 0.7500
Mg 0.1444 0.8556 0.2500
Er 0.5031 0.2017 0.1501
Er 0.4969 0.7983 0.8499
Er 0.2017 0.5031 0.6501
Er 0.7983 0.4969 0.3499
Rh 0.0167 0.7135 0.0132
Rh 0.2865 0.9833 0.4868
Rh 0.7135 0.0167 0.5132
Rh 0.9833 0.2865 0.9868



(19)
! Pm2SmTh3 PBE optimized geometry; values from VASP
! SG: Cmcm (63)
! ΔH_f (0 K), eV/atom: 0.20
&SYSTEM
  ibrav = 0, nat = 12, ntyp = 3
/
ATOMIC_SPECIES
Pm 145.00 Pm.upf
Th 232.04 Th.upf
Sm 150.36 Sm.upf
CELL_PARAMETERS angstrom
-1.0205 -5.1979 4.2700
-7.5241 -4.5408 -7.3256
7.5690 -0.3532 1.3789
ATOMIC_POSITIONS crystal
Pm 0.2500 0.5633 0.6666
Pm 0.2500 0.8968 0.3334
Pm 0.7500 0.1032 0.6666
Pm 0.7500 0.4367 0.3334
Th 0.0000 0.1665 0.3331
Th 0.0000 0.5000 0.0000
Th 0.0000 0.8335 0.6669
Th 0.5000 0.8335 0.6669
Th 0.5000 0.5000 0.0000
Th 0.5000 0.1665 0.3331
Sm 0.7500 0.7702 0.0000
Sm 0.2500 0.2298 0.0000



(20)
! PaBeTc2 PBE optimized geometry; values from VASP
! SG: Cmmm (65)
! ΔH_f (0 K), eV/atom: 0.10
! Energy above the most stable polymorph in this dataset, eV/atom: 0.1998
&SYSTEM
  ibrav = 0, nat = 4, ntyp = 3
/
ATOMIC_SPECIES
Tc 98.00 Tc.upf
Pa 231.04 Pa.upf
Be 9.01 Be.upf
CELL_PARAMETERS angstrom
-2.1206 -0.7404 2.4984
-1.4601 -4.5434 -2.5857
3.3406 0.4763 2.9735
ATOMIC_POSITIONS crystal
Tc 0.9998 0.7954 0.5908
Tc 0.0002 0.2046 0.4092
Pa 0.5000 0.5000 0.0000
Be 0.5000 0.0000 0.0000



Number 1: E_tot -4.671 eV/atom. Number 2: E_tot -2.870 eV/atom. Number 3: E_tot -4.929 eV/atom. Number 4: E_tot -2.051 eV/atom. Number 5: E_tot -4.797 eV/atom. Number 6: E_tot -2.639 eV/atom. Number 7: E_tot -7.713 eV/atom. Number 8: E_tot -4.364 eV/atom. Number 9: E_tot -7.810 eV/atom. Number 10: E_tot -6.429 eV/atom. Number 11: E_tot -2.118 eV/atom. Number 12: E_tot -5.875 eV/atom. Number 13: E_tot -5.639 eV/atom. Number 14: E_tot -2.988 eV/atom. Number 15: E_tot -4.252 eV/atom. Number 16: E_tot -2.363 eV/atom. Number 17: E_tot -2.760 eV/atom. Number 18: E_tot -5.823 eV/atom. Number 19: E_tot -5.885 eV/atom. Number 20: E_tot -8.391 eV/atom.